The following is a DFT calculation (PBE) of a relaxed Mn2MoN crystal.

The space group is R-3m (No. 166, hexagonal axes) and the conventional cell measures 2.7887, 2.7887 and 21.0529 Å, with angles of 90.00, 90.00 and 120.00 degrees. The distinct sites, in fractional coordinates, are Mn at (0.0000, 0.0000, 0.1146), Mo at (0.0000, 0.0000, 0.0000) and N at (0.0000, 0.0000, 0.5000).

Its size of the total moment is 9.40 Bohr magnetons per cell.

=====

The following is a DFT calculation (PBE) of a relaxed MnMo2N crystal.

The space group is I-42d (No. 122) and the conventional cell measures 7.095, 7.095 and 4.184 Å, with angles of 90.00, 90.00 and 90.00 degrees. The distinct sites, in fractional coordinates, are Mn at (0.000, 0.000, 0.000), Mo at (0.136, 0.750, 0.625) and N at (0.000, 0.000, 0.500).

Its size of the total moment is 9.61 Bohr magnetons per cell.

=====

The following is a DFT calculation (PBE) of a relaxed Mn2MoN crystal.

The space group is I-42d (No. 122) and the conventional cell measures 5.157, 5.157 and 7.964 Å, with angles of 90.00, 90.00 and 90.00 degrees. The distinct sites, in fractional coordinates, are Mn at (0.146, 0.250, 0.125), Mo at (0.000, 0.000, 0.500) and N at (0.000, 0.000, 0.000).

Its size of the total moment is 7.79 Bohr magnetons per cell.

=====

The following is a DFT calculation (PBE) of a relaxed MnMoN3 crystal.

The space group is Pm-3m (No. 221) and the conventional cell measures 3.641, 3.641 and 3.641 Å, with angles of 90.00, 90.00 and 90.00 degrees. The distinct sites, in fractional coordinates, are Mn at (0.000, 0.000, 0.000), Mo at (0.500, 0.500, 0.500) and N at (0.000, 0.000, 0.500).

Its size of the total moment is 2.36 Bohr magnetons per cell.

=====

no.,E_form (uncorrected) (meV/atom)
1,204
2,115
3,326
4,899